[1]
Entry from Alexandria: an optimized crystal structure of PmTc3C (PBE).

Properties
Energy relative to the elements in eV per atom: 0.17
Electronic total energy in eV per formula unit: -44.2

Unit cell a=4.258 b=4.258 c=4.258 alpha=90.00 beta=90.00 gamma=90.00
Space group Pm-3m (No. 221)
Unique sites:
Pm 0.000 0.000 0.000
Tc 0.000 0.500 0.500
C 0.500 0.500 0.500

***

[2]
Entry from Alexandria: an optimized crystal structure of Sr2P (PBE).

Properties
Energy relative to the elements in eV per atom: -0.70
Electronic total energy in eV per formula unit: -10.9

Unit cell a=8.2786 b=8.2786 c=4.6774 alpha=90.00 beta=90.00 gamma=120.00
Space group P-62m (No. 189)
Unique sites:
Sr 0.0000 0.2668 0.0000
Sr 0.0000 0.5980 0.5000
P 0.0000 0.0000 0.5000
P 0.3333 0.6667 0.0000

***

[3]
Entry from Alexandria: an optimized crystal structure of DyY5Er (PBE).

Properties
Energy relative to the elements in eV per atom: 0.18
Electronic total energy in eV per formula unit: -40.2

Unit cell a=6.080 b=17.436 c=8.871 alpha=90.00 beta=102.08 gamma=90.00
Space group C2/c (No. 15)
Unique sites:
Dy 0.000 0.013 0.250
Y 0.000 0.357 0.250
Y 0.112 0.154 0.963
Y 0.202 0.313 0.645
Er 0.000 0.500 0.000

***

[4]
Entry from Alexandria: an optimized crystal structure of Er4As3P (PBE).

Properties
Energy relative to the elements in eV per atom: -1.54
Electronic total energy in eV per formula unit: -49.9

Unit cell a=7.021 b=8.116 c=7.016 alpha=90.00 beta=109.50 gamma=90.00
Space group P2/c (No. 13)
Unique sites:
Er 0.245 0.122 0.001
Er 0.248 0.372 0.497
As 0.000 0.375 0.750
As 0.500 0.125 0.750
As 0.500 0.375 0.250
P 0.000 0.124 0.250

***

[5]
Entry from Alexandria: an optimized crystal structure of Pr4Zn3Hg (PBE).

Properties
Energy above the lowest structure with this stoichiometry in eV per atom: 0.000
Energy relative to the elements in eV per atom: -0.34
Electronic total energy in eV per formula unit: -25.9

Unit cell a=3.760 b=5.294 c=10.649 alpha=90.00 beta=90.00 gamma=90.00
Space group Pmmm (No. 47)
Unique sites:
Pr 0.000 0.000 0.000
Pr 0.000 0.000 0.500
Pr 0.000 0.500 0.240
Zn 0.500 0.000 0.245
Zn 0.500 0.500 0.000
Hg 0.500 0.500 0.500